Entry from the Alexandria database: Zn2HgRh2 after structural relaxation (PBE).

For the density of states at the Fermi level, the calculation gives 1.86 states/eV/f.u. The polymorph energy (0 for the lowest one) comes out at 0.00 eV/f.u. The calculation puts the volume at 16.0 A^3/atom.

The structure belongs to space group P4/mbm (No. 127); the cell edges are 7.130, 7.130 and 3.149 Å and the angles 90.00°, 90.00° and 90.00°. The asymmetric unit holds Zn at (0.155, 0.345, 0.000), Hg at (0.000, 0.000, 0.500) and Rh at (0.140, 0.640, 0.500).